[1]
An optimized crystal structure of LiDyAg2Br6. Source: the Alexandria database, functional PBE.

a b c (Å): 7.167 7.167 7.712
angles (deg): 62.34 62.39 60.05
Space group P1 (No. 1)
Asymmetric unit:
Li 0.000 0.000 0.000
Dy 0.515 0.514 0.457
Ag 0.207 0.206 0.381
Ag 0.774 0.775 0.676
Br 0.129 0.766 0.715
Br 0.262 0.619 0.215
Br 0.389 0.129 0.716
Br 0.620 0.903 0.215
Br 0.766 0.390 0.716
Br 0.903 0.262 0.216

* ρ: 5.0 g cm⁻³
* ΔE_f (raw): -1158 meV/atom

[2]
An optimized crystal structure of IrSe2Br. Source: the Alexandria database, functional PBE.

a b c (Å): 2.8949 2.8949 37.8565
angles (deg): 90.00 90.00 120.00
Space group R-3m (No. 166, hexagonal axes)
Asymmetric unit:
Ir 0.0000 0.0000 0.0000
Se 0.0000 0.0000 0.0634
Br 0.0000 0.0000 0.5000

* ρ: 7.8 g cm⁻³
* ΔE_f (raw): 248 meV/atom
* polymorph energy (0 for the lowest one): 476.4 meV per atom

[3]
An optimized crystal structure of AlFeNi3. Source: the Alexandria database, functional PBE.

a b c (Å): 13.240 3.461 5.138
angles (deg): 90.00 102.43 90.00
Space group C2/m (No. 12)
Asymmetric unit:
Al 0.102 0.000 0.063
Fe 0.200 0.500 0.839
Ni 0.001 0.500 0.751
Ni 0.099 0.000 0.555
Ni 0.203 0.500 0.352

* ρ: 7.5 g cm⁻³
* formation energy from the elements: -0.26 eV per atom
* polymorph energy (0 for the lowest one): 0.0 meV per atom

[4]
An optimized crystal structure of NbPRu2. Source: the Alexandria database, functional PBE.

a b c (Å): 5.564 5.564 10.457
angles (deg): 90.00 90.00 90.00
Space group I-42d (No. 122)
Asymmetric unit:
Nb 0.000 0.000 0.000
P 0.000 0.000 0.500
Ru 0.210 0.250 0.625

* ρ: 6.7 g cm⁻³
* formation energy from the elements: 0.30 eV per atom

[5]
An optimized crystal structure of Nb5S8. Source: the Alexandria database, functional PBE.

a b c (Å): 5.8140 5.8140 25.4919
angles (deg): 90.00 90.00 120.00
Space group P312 (No. 149)
Asymmetric unit:
Nb 0.0000 0.0000 0.0000
Nb 0.0000 0.0000 0.1258
Nb 0.0000 0.0000 0.3748
Nb 0.3333 0.6667 0.1244
Nb 0.3333 0.6667 0.2513
Nb 0.3333 0.6667 0.3757
Nb 0.6667 0.3333 0.1250
Nb 0.6667 0.3333 0.3748
S 0.0009 0.3342 0.6877
S 0.3334 0.0016 0.5638
S 0.3343 0.0010 0.0630
S 0.3350 0.0017 0.1873

* ρ: 4.8 g cm⁻³
* ΔE_f (raw): -1111 meV/atom

[6]
An optimized crystal structure of CaAcHgRh. Source: the Alexandria database, functional PBE.

a b c (Å): 7.525 7.525 7.525
angles (deg): 90.00 90.00 90.00
Space group F-43m (No. 216)
Asymmetric unit:
Ca 0.000 0.000 0.000
Ac 0.000 0.000 0.500
Hg 0.250 0.250 0.250
Rh 0.250 0.250 0.750

* ρ: 8.9 g cm⁻³
* formation energy from the elements: -0.43 eV per atom

[7]
An optimized crystal structure of Na3TcH8. Source: the Alexandria database, functional PBE.

a b c (Å): 5.600 5.600 7.355
angles (deg): 90.00 90.00 90.00
Space group I-42m (No. 121)
Asymmetric unit:
Na 0.000 0.000 0.000
Na 0.000 0.500 0.250
Tc 0.000 0.000 0.500
H 0.120 0.120 0.689
H 0.212 0.212 0.444

* ρ: 2.5 g cm⁻³

[8]
An optimized crystal structure of BeTlP2O. Source: the Alexandria database, functional PBE.

a b c (Å): 5.661 5.661 2.839
angles (deg): 90.00 90.00 90.00
Space group P4/mmm (No. 123)
Asymmetric unit:
Be 0.000 0.000 0.000
Tl 0.500 0.500 0.500
P 0.000 0.500 0.000
O 0.000 0.000 0.500

* ρ: 5.3 g cm⁻³
* ΔE_f (raw): -45 meV/atom
* polymorph energy (0 for the lowest one): 0.0 meV per atom

[9]
An optimized crystal structure of Ce4TlPd2. Source: the Alexandria database, functional PBE.

a b c (Å): 5.0326 5.0326 25.3604
angles (deg): 90.00 90.00 120.00
Space group R-3m (No. 166, hexagonal axes)
Asymmetric unit:
Ce 0.0000 0.0000 0.1086
Ce 0.0000 0.0000 0.2764
Tl 0.0000 0.0000 0.5000
Pd 0.0000 0.0000 0.3867

* ρ: 8.8 g cm⁻³
* formation energy from the elements: -0.22 eV per atom

[10]
An optimized crystal structure of Pm4Pu6O19. Source: the Alexandria database, functional PBE.

a b c (Å): 9.757 9.757 9.757
angles (deg): 90.00 90.00 90.00
Space group I23 (No. 197)
Asymmetric unit:
Pm 0.145 0.145 0.855
Pu 0.000 0.326 0.500
O 0.000 0.000 0.000
O 0.000 0.000 0.355
O 0.049 0.308 0.716

* ρ: 8.4 g cm⁻³
* ΔE_f (raw): -2995 meV/atom

[11]
An optimized crystal structure of Pr2MnNi3Pt12. Source: the Alexandria database, functional PBE.

a b c (Å): 6.7360 6.7360 25.8170
angles (deg): 90.00 90.00 120.00
Space group R-3m (No. 166, hexagonal axes)
Asymmetric unit:
Pr 0.0000 0.0000 0.1569
Mn 0.0000 0.0000 0.5000
Ni 0.0000 0.5000 0.0000
Pt 0.0524 0.5262 0.0970
Pt 0.0651 0.5326 0.6197

* ρ: 14.0 g cm⁻³
* formation energy from the elements: -0.11 eV per atom

[12]
An optimized crystal structure of RbUBe2Br8. Source: the Alexandria database, functional PBE.

a b c (Å): 6.6930 6.6930 31.2931
angles (deg): 90.00 90.00 120.00
Space group R-3 (No. 148, hexagonal axes)
Asymmetric unit:
Rb 0.0000 0.0000 0.0000
U 0.0000 0.0000 0.5000
Be 0.0000 0.0000 0.2478
Br 0.0000 0.0000 0.3152
Br 0.0087 0.3178 0.7770

* ρ: 4.0 g cm⁻³
* ΔE_f (raw): -1191 meV/atom

Magnetization? In order: 0.0 0.0 3.2 0.0 1.5 0.0 0.0 0.0 3.5 22.0 2.2 3.0 μB/f.u..
VASP energy? In order: -3.38 -4.13 -6.17 -8.20 -7.52 -3.87 -3.66 -4.42 -5.44 -9.86 -6.14 -3.95 eV per atom.